# SiHg2Br (meta-GGA SCAN, PBEsol geometry)
# ΔE_f (raw), eV per atom: 0.388
# Offset from the most stable computed form, eV/atom: 0.267
# DFT total energy, eV per atom: -41.064
data_SiHg2Br
_chemical_formula_sum 'Si2 Hg4 Br2'
_cell_length_a 5.481
_cell_length_b 10.434
_cell_length_c 3.250
_cell_angle_alpha 90.00
_cell_angle_beta 90.00
_cell_angle_gamma 90.00
_space_group_name_H-M_alt 'C m m m'
_space_group_IT_number 65
_space_group_name_Hall '-C 2 2'
loop_
_atom_site_label
_atom_site_type_symbol
_atom_site_fract_x
_atom_site_fract_y
_atom_site_fract_z
Si1 Si 0.000 0.000 0.000
Hg1 Hg 0.250 0.250 0.500
Br1 Br 0.000 0.500 0.000


# SiHg4Br (meta-GGA SCAN, PBEsol geometry)
# ΔE_f (raw), eV per atom: 0.439
# DFT total energy, eV per atom: -49.918
data_SiHg4Br
_chemical_formula_sum 'Si4 Hg16 Br4'
_cell_length_a 8.293
_cell_length_b 8.293
_cell_length_c 8.293
_cell_angle_alpha 90.00
_cell_angle_beta 90.00
_cell_angle_gamma 90.00
_space_group_name_H-M_alt 'F -4 3 m'
_space_group_IT_number 216
_space_group_name_Hall 'F -4 2 3'
loop_
_atom_site_label
_atom_site_type_symbol
_atom_site_fract_x
_atom_site_fract_y
_atom_site_fract_z
Si1 Si 0.000 0.000 0.000
Hg1 Hg 0.125 0.125 0.375
Br1 Br 0.250 0.250 0.750